! SrNiH3 (PBE-GGA, optimized geometry); values from VASP
&SYSTEM
  ibrav = 0, nat = 5, ntyp = 3
/
ATOMIC_SPECIES
Ni 58.69 Ni.upf
Sr 87.62 Sr.upf
H 1.01 H.upf
CELL_PARAMETERS angstrom
4.406 0.000 0.000
0.000 4.406 0.000
0.000 0.000 4.406
ATOMIC_POSITIONS angstrom
Ni 2.203 2.203 2.203
Sr 0.000 0.000 0.000
H 2.203 0.000 0.000
H 0.000 2.203 0.000
H 0.000 0.000 2.203
! Energy, eV/atom: -2.6936
! SG: Pm-3m (221)